(1)
Material: SrAl2IrW
Method: DFT, PBE-GGA
State: optimized geometry

Values from the calculation:
Electronic total energy = -5.90 eV/atom

Cell: 4.970 4.970 4.833 Å, 90.00 90.00 90.00°
Fractional positions:
Sr 0.000 0.000 0.000
Al 0.000 0.500 0.500
Al 0.500 0.000 0.500
Ir 0.500 0.500 0.000
W 0.500 0.500 0.500

(2)
Material: SrY2AlIr
Method: DFT, PBE-GGA
State: optimized geometry

Values from the calculation:
Polymorph energy (0 for the lowest one) = 0 meV/atom

Cell: 5.462 5.462 4.971 Å, 90.00 90.00 90.00°
Fractional positions:
Sr 0.000 0.000 0.000
Y 0.000 0.500 0.500
Y 0.500 0.000 0.500
Al 0.500 0.500 0.000
Ir 0.500 0.500 0.500

(3)
Material: SrY2AlIr
Method: DFT, PBE-GGA
State: optimized geometry

Values from the calculation:
Polymorph energy (0 for the lowest one) = 1147 meV/atom

Cell: 5.389 5.389 5.659 Å, 90.00 90.00 90.00°
Fractional positions:
Sr 0.000 0.000 0.000
Y 0.000 0.500 0.500
Y 0.500 0.000 0.500
Al 0.000 0.000 0.500
Ir 0.500 0.500 0.000

(4)
Material: SrAl2ZnIr
Method: DFT, PBE-GGA
State: optimized geometry

Values from the calculation:
Electronic total energy = -4.27 eV/atom

Cell: 4.771 4.771 4.944 Å, 90.00 90.00 90.00°
Fractional positions:
Sr 0.000 0.000 0.000
Al 0.000 0.500 0.500
Al 0.500 0.000 0.500
Zn 0.500 0.500 0.000
Ir 0.500 0.500 0.500

(5)
Material: TaAlIr2
Method: DFT, PBE-GGA
State: optimized geometry

Values from the calculation:
Electronic total energy = -8.95 eV/atom

Cell: 4.921 4.921 4.468 Å, 104.20 104.20 36.74°
Fractional positions:
Ta 0.000 0.000 0.000
Al 0.758 0.758 0.367
Ir 0.262 0.262 0.871
Ir 0.492 0.492 0.488

(6)
Material: TaAlIr2
Method: DFT, PBE-GGA
State: optimized geometry

Values from the calculation:
Electronic total energy = -8.93 eV/atom

Cell: 5.000 5.000 5.000 Å, 135.20 135.20 65.22°
Fractional positions:
Ta 0.000 0.000 0.000
Al 0.250 0.750 0.500
Ir 0.500 0.500 0.000
Ir 0.750 0.250 0.500

Number 1: DOS(E_F) 2.6 states/eV/cell. Number 2: DOS(E_F) 3.2 states/eV/cell. Number 3: DOS(E_F) 6.3 states/eV/cell. Number 4: DOS(E_F) 3.9 states/eV/cell. Number 5: DOS(E_F) 1.0 states/eV/cell. Number 6: DOS(E_F) 2.9 states/eV/cell.